# 1
Compound: PrMg3Cd
Source: Alexandria
Functional: PBE-GGA
Structure: relaxed

The space group is P2_1/m (No. 11) and the conventional cell measures 7.522, 4.646 and 7.729 Å, with angles of 90.00, 105.17 and 90.00 degrees. The asymmetric unit holds Pr at (0.195, 0.250, 0.162), Mg at (0.069, 0.250, 0.646), Mg at (0.296, 0.750, 0.884), Mg at (0.343, 0.750, 0.515) and Cd at (0.468, 0.250, 0.758).

For the formation energy, the calculation gives -0.12 eV per atom. Its distance to the lowest polymorph of the same formula is 13.3 meV per atom.

***

# 2
Compound: PrMg5Cd6
Source: Alexandria
Functional: PBE-GGA
Structure: relaxed

The space group is Cmmm (No. 65) and the conventional cell measures 4.703, 14.313 and 8.237 Å, with angles of 90.00, 90.00 and 90.00 degrees. The asymmetric unit holds Pr at (0.000, 0.000, 0.000), Mg at (0.000, 0.000, 0.500), Mg at (0.000, 0.328, 0.000), Mg at (0.000, 0.330, 0.500), Cd at (0.000, 0.169, 0.261) and Cd at (0.000, 0.500, 0.273).

For the formation energy, the calculation gives -0.15 eV per atom.